(1)
RbCoAs3 | PBE | optimized geometry

```
data_RbCoAs3
_space_group_name_H-M_alt 'P 1'
_space_group_IT_number 1
_cell_length_a 4.826
_cell_length_b 4.826
_cell_length_c 4.826
_cell_angle_alpha 90.00
_cell_angle_beta 90.00
_cell_angle_gamma 90.00
loop_
_space_group_symop_operation_xyz
'x,y,z'
loop_
_atom_site_label
_atom_site_type_symbol
_atom_site_fract_x
_atom_site_fract_y
_atom_site_fract_z
Rb1 Rb 0.000 0.000 0.000
Co1 Co 0.500 0.500 0.500
As1 As 0.000 0.500 0.500
As2 As 0.500 0.000 0.500
As3 As 0.500 0.500 0.000
```

Output
- Volume: 112.4 Å³ per cell
- Calculated total energy: -4.160 eV/atom
- Energy relative to the lowest polymorph listed for this composition: 0 meV/atom
- ΔH_f (0 K): 0.24 eV/atom
- Crystal system: cubic

---

(2)
Nd3SbPBr | PBE | optimized geometry

```
data_Nd3SbPBr
_space_group_name_H-M_alt 'P 1'
_space_group_IT_number 1
_cell_length_a 7.449
_cell_length_b 4.218
_cell_length_c 11.452
_cell_angle_alpha 90.00
_cell_angle_beta 102.37
_cell_angle_gamma 90.00
loop_
_space_group_symop_operation_xyz
'x,y,z'
loop_
_atom_site_label
_atom_site_type_symbol
_atom_site_fract_x
_atom_site_fract_y
_atom_site_fract_z
Nd1 Nd 0.044 0.250 0.142
Nd2 Nd 0.289 0.250 0.496
Nd3 Nd 0.452 0.750 0.851
Nd4 Nd 0.548 0.250 0.149
Nd5 Nd 0.711 0.750 0.504
Nd6 Nd 0.956 0.750 0.858
Sb1 Sb 0.345 0.750 0.299
Sb2 Sb 0.655 0.250 0.701
P1 P 0.234 0.250 0.943
P2 P 0.766 0.750 0.057
Br1 Br 0.122 0.750 0.633
Br2 Br 0.878 0.250 0.367
```

Output
- Volume: 351.5 Å³ per cell
- Calculated total energy: -5.564 eV/atom
- Energy relative to the elements, uncorrected: -7.9 eV/f.u.
- Crystal system: monoclinic

---

(3)
Te2AsPbN | PBE | optimized geometry

```
data_Te2AsPbN
_space_group_name_H-M_alt 'P 1'
_space_group_IT_number 1
_cell_length_a 5.906
_cell_length_b 5.906
_cell_length_c 3.710
_cell_angle_alpha 90.00
_cell_angle_beta 90.00
_cell_angle_gamma 90.00
loop_
_space_group_symop_operation_xyz
'x,y,z'
loop_
_atom_site_label
_atom_site_type_symbol
_atom_site_fract_x
_atom_site_fract_y
_atom_site_fract_z
Te1 Te 0.000 0.500 0.000
Te2 Te 0.500 0.000 0.000
As1 As 0.000 0.000 0.000
Pb1 Pb 0.500 0.500 0.500
N1 N 0.000 0.000 0.500
```

Output
- Volume: 129.4 Å³ per cell
- Calculated total energy: -4.035 eV/atom
- Energy relative to the elements, uncorrected: 2.8 eV/f.u.
- Energy relative to the lowest polymorph listed for this composition: 0 meV/atom
- Crystal system: tetragonal

---

Number 1: total moment 0.0000 μB/atom. Number 2: total moment 0.0000 μB/atom. Number 3: total moment 0.0000 μB/atom.